1.
# Na4TlHg3, optimized geometry, DFT PBE-GGA
data_Na4TlHg3
_chemical_formula_sum 'Na4 Tl1 Hg3'
_symmetry_space_group_name_H-M 'P m m 2'
_symmetry_Int_Tables_number 25
_cell_length_a 3.442
_cell_length_b 5.132
_cell_length_c 12.351
_cell_angle_alpha 90.00
_cell_angle_beta 90.00
_cell_angle_gamma 90.00
loop_
_symmetry_equiv_pos_as_xyz
'x,y,z'
'-x,-y,z'
'-x,y,z'
'x,-y,z'
loop_
_atom_site_label
_atom_site_type_symbol
_atom_site_fract_x
_atom_site_fract_y
_atom_site_fract_z
Na1 Na 0.000 0.000 0.000
Na2 Na 0.000 0.500 0.315
Na3 Na 0.500 0.000 0.490
Na4 Na 0.500 0.500 0.823
Tl1 Tl 0.000 0.000 0.726
Hg1 Hg 0.000 0.500 0.581
Hg2 Hg 0.500 0.000 0.232
Hg3 Hg 0.500 0.500 0.083
# Energy of formation from the pure elements in meV per atom: -202
# Total magnetic moment in μB/f.u.: 0.0

---

2.
# CeDy2Th3As6, optimized geometry, DFT PBE-GGA
data_CeDy2Th3As6
_chemical_formula_sum 'Ce2 Dy4 Th6 As12'
_symmetry_space_group_name_H-M 'C 1 2/m 1'
_symmetry_Int_Tables_number 12
_cell_length_a 18.317
_cell_length_b 4.212
_cell_length_c 8.393
_cell_angle_alpha 90.00
_cell_angle_beta 103.07
_cell_angle_gamma 90.00
loop_
_symmetry_equiv_pos_as_xyz
'x,y,z'
'-x,-y,-z'
'-x,y,-z'
'x,-y,z'
'x+1/2,y+1/2,z'
'-x+1/2,-y+1/2,-z'
'-x+1/2,y+1/2,-z'
'x+1/2,-y+1/2,z'
loop_
_atom_site_label
_atom_site_type_symbol
_atom_site_fract_x
_atom_site_fract_y
_atom_site_fract_z
Ce1 Ce 0.000 0.000 0.000
Dy1 Dy 0.168 0.500 0.334
Th1 Th 0.000 0.000 0.500
Th2 Th 0.166 0.500 0.832
As1 As 0.002 0.500 0.249
As2 As 0.167 0.000 0.088
As3 As 0.168 0.000 0.579
# Energy of formation from the pure elements in meV per atom: -1454
# Total magnetic moment in μB/f.u.: 0.7

---

3.
# Pm2ThGa, optimized geometry, DFT PBE-GGA
data_Pm2ThGa
_chemical_formula_sum 'Pm2 Th1 Ga1'
_symmetry_space_group_name_H-M 'P 4/m m m'
_symmetry_Int_Tables_number 123
_symmetry_space_group_name_Hall '-P 4 2'
_cell_length_a 4.836
_cell_length_b 4.836
_cell_length_c 4.816
_cell_angle_alpha 90.00
_cell_angle_beta 90.00
_cell_angle_gamma 90.00
loop_
_atom_site_label
_atom_site_type_symbol
_atom_site_fract_x
_atom_site_fract_y
_atom_site_fract_z
Pm1 Pm 0.000 0.500 0.000
Th1 Th 0.000 0.000 0.500
Ga1 Ga 0.500 0.500 0.500
# Energy of formation from the pure elements in meV per atom: -193
# Polymorph energy (0 for the lowest one) in kJ/mol of atoms: 5.8
# Total magnetic moment in μB/f.u.: 0.0

---

4.
# Ge2Te2Cl, optimized geometry, DFT PBE-GGA
data_Ge2Te2Cl
_chemical_formula_sum 'Ge4 Te4 Cl2'
_symmetry_space_group_name_H-M 'P 4/m b m'
_symmetry_Int_Tables_number 127
_symmetry_space_group_name_Hall '-P 4 2ab'
_cell_length_a 8.186
_cell_length_b 8.186
_cell_length_c 4.000
_cell_angle_alpha 90.00
_cell_angle_beta 90.00
_cell_angle_gamma 90.00
loop_
_atom_site_label
_atom_site_type_symbol
_atom_site_fract_x
_atom_site_fract_y
_atom_site_fract_z
Ge1 Ge 0.202 0.298 0.000
Te1 Te 0.137 0.637 0.500
Cl1 Cl 0.000 0.000 0.000
# Polymorph energy (0 for the lowest one) in kJ/mol of atoms: 14.5
# Raw formation energy in meV per atom: -69
# Total magnetic moment in μB/f.u.: 0.0

---

5.
# CoNiSb2, optimized geometry, DFT PBE-GGA
data_CoNiSb2
_chemical_formula_sum 'Co4 Ni4 Sb8'
_symmetry_space_group_name_H-M 'F -4 3 m'
_symmetry_Int_Tables_number 216
_symmetry_space_group_name_Hall 'F -4 2 3'
_cell_length_a 6.655
_cell_length_b 6.655
_cell_length_c 6.655
_cell_angle_alpha 90.00
_cell_angle_beta 90.00
_cell_angle_gamma 90.00
loop_
_atom_site_label
_atom_site_type_symbol
_atom_site_fract_x
_atom_site_fract_y
_atom_site_fract_z
Co1 Co 0.000 0.000 0.000
Ni1 Ni 0.250 0.250 0.250
Sb1 Sb 0.000 0.000 0.500
Sb2 Sb 0.250 0.250 0.750
# Raw formation energy in meV per atom: 651
# Total magnetic moment in μB/f.u.: 1.5

---

6.
# BeAlV2H, optimized geometry, DFT PBE-GGA
data_BeAlV2H
_chemical_formula_sum 'Be1 Al1 V2 H1'
_symmetry_space_group_name_H-M 'P 4/m m m'
_symmetry_Int_Tables_number 123
_symmetry_space_group_name_Hall '-P 4 2'
_cell_length_a 3.679
_cell_length_b 3.679
_cell_length_c 3.903
_cell_angle_alpha 90.00
_cell_angle_beta 90.00
_cell_angle_gamma 90.00
loop_
_atom_site_label
_atom_site_type_symbol
_atom_site_fract_x
_atom_site_fract_y
_atom_site_fract_z
Be1 Be 0.000 0.000 0.000
Al1 Al 0.500 0.500 0.000
V1 V 0.000 0.500 0.500
H1 H 0.000 0.000 0.500
# Total magnetic moment in μB/f.u.: 0.0
# Uncorrected energy in eV/atom: -5.90

---

7.
# TbPd5Au2, optimized geometry, DFT PBE-GGA
data_TbPd5Au2
_chemical_formula_sum 'Tb2 Pd10 Au4'
_symmetry_space_group_name_H-M 'P b a m'
_symmetry_Int_Tables_number 55
_cell_length_a 5.751
_cell_length_b 11.463
_cell_length_c 4.173
_cell_angle_alpha 90.00
_cell_angle_beta 90.00
_cell_angle_gamma 90.00
loop_
_symmetry_equiv_pos_as_xyz
'x,y,z'
'-x,-y,-z'
'-x,-y,z'
'x,y,-z'
'x+1/2,-y+1/2,-z'
'-x+1/2,y+1/2,z'
'-x+1/2,y+1/2,-z'
'x+1/2,-y+1/2,z'
loop_
_atom_site_label
_atom_site_type_symbol
_atom_site_fract_x
_atom_site_fract_y
_atom_site_fract_z
Tb1 Tb 0.000 0.000 0.000
Pd1 Pd 0.000 0.500 0.000
Pd2 Pd 0.022 0.250 0.000
Pd3 Pd 0.238 0.876 0.500
Au1 Au 0.228 0.630 0.500
# Energy of formation from the pure elements in meV per atom: -477
# Polymorph energy (0 for the lowest one) in kJ/mol of atoms: 0.0
# Total magnetic moment in μB/f.u.: 0.0

---

8.
# ScNi5As3, optimized geometry, DFT PBE-GGA
data_ScNi5As3
_chemical_formula_sum 'Sc4 Ni20 As12'
_symmetry_space_group_name_H-M 'C m c m'
_symmetry_Int_Tables_number 63
_symmetry_space_group_name_Hall '-C 2c 2'
_cell_length_a 3.752
_cell_length_b 12.761
_cell_length_c 10.660
_cell_angle_alpha 90.00
_cell_angle_beta 90.00
_cell_angle_gamma 90.00
loop_
_atom_site_label
_atom_site_type_symbol
_atom_site_fract_x
_atom_site_fract_y
_atom_site_fract_z
Sc1 Sc 0.000 0.221 0.250
Ni1 Ni 0.000 0.000 0.000
Ni2 Ni 0.000 0.194 0.542
Ni3 Ni 0.000 0.429 0.130
As1 As 0.000 0.112 0.750
As2 As 0.000 0.380 0.581
# Energy of formation from the pure elements in meV per atom: -456
# Total magnetic moment in μB/f.u.: 0.0

---

9.
# Tm8ZnGa2, optimized geometry, DFT PBE-GGA
data_Tm8ZnGa2
_chemical_formula_sum 'Tm16 Zn2 Ga4'
_symmetry_space_group_name_H-M 'C 1 2/m 1'
_symmetry_Int_Tables_number 12
_cell_length_a 17.833
_cell_length_b 4.947
_cell_length_c 6.624
_cell_angle_alpha 90.00
_cell_angle_beta 102.63
_cell_angle_gamma 90.00
loop_
_symmetry_equiv_pos_as_xyz
'x,y,z'
'-x,-y,-z'
'-x,y,-z'
'x,-y,z'
'x+1/2,y+1/2,z'
'-x+1/2,-y+1/2,-z'
'-x+1/2,y+1/2,-z'
'x+1/2,-y+1/2,z'
loop_
_atom_site_label
_atom_site_type_symbol
_atom_site_fract_x
_atom_site_fract_y
_atom_site_fract_z
Tm1 Tm 0.025 0.000 0.270
Tm2 Tm 0.092 0.500 0.960
Tm3 Tm 0.159 0.500 0.467
Tm4 Tm 0.203 0.000 0.808
Zn1 Zn 0.000 0.500 0.500
Ga1 Ga 0.190 0.000 0.243
# Energy of formation from the pure elements in meV per atom: -251
# Total magnetic moment in μB/f.u.: 0.0

---

10.
# UZn3O6F2, optimized geometry, DFT PBE-GGA
data_UZn3O6F2
_chemical_formula_sum 'U2 Zn6 O12 F4'
_symmetry_space_group_name_H-M 'C 1 2/m 1'
_symmetry_Int_Tables_number 12
_cell_length_a 10.918
_cell_length_b 6.031
_cell_length_c 4.544
_cell_angle_alpha 90.00
_cell_angle_beta 92.39
_cell_angle_gamma 90.00
loop_
_symmetry_equiv_pos_as_xyz
'x,y,z'
'-x,-y,-z'
'-x,y,-z'
'x,-y,z'
'x+1/2,y+1/2,z'
'-x+1/2,-y+1/2,-z'
'-x+1/2,y+1/2,-z'
'x+1/2,-y+1/2,z'
loop_
_atom_site_label
_atom_site_type_symbol
_atom_site_fract_x
_atom_site_fract_y
_atom_site_fract_z
U1 U 0.000 0.000 0.000
Zn1 Zn 0.000 0.500 0.500
Zn2 Zn 0.250 0.250 0.000
O1 O 0.076 0.248 0.755
O2 O 0.173 0.000 0.210
F1 F 0.168 0.500 0.249
# Raw formation energy in meV per atom: -1830
# Total magnetic moment in μB/f.u.: 0.0

---

11.
# PuFe2Ni, optimized geometry, DFT PBE-GGA
data_PuFe2Ni
_chemical_formula_sum 'Pu1 Fe2 Ni1'
_symmetry_space_group_name_H-M 'P 4/m m m'
_symmetry_Int_Tables_number 123
_symmetry_space_group_name_Hall '-P 4 2'
_cell_length_a 3.913
_cell_length_b 3.913
_cell_length_c 3.636
_cell_angle_alpha 90.00
_cell_angle_beta 90.00
_cell_angle_gamma 90.00
loop_
_atom_site_label
_atom_site_type_symbol
_atom_site_fract_x
_atom_site_fract_y
_atom_site_fract_z
Pu1 Pu 0.000 0.000 0.000
Fe1 Fe 0.000 0.500 0.500
Ni1 Ni 0.500 0.500 0.000
# Energy of formation from the pure elements in meV per atom: -40
# Total magnetic moment in μB/f.u.: 0.5

---

12.
# Pm6Nd3Ho2In, optimized geometry, DFT PBE-GGA
data_Pm6Nd3Ho2In
_chemical_formula_sum 'Pm12 Nd6 Ho4 In2'
_symmetry_space_group_name_H-M 'C 1 2/m 1'
_symmetry_Int_Tables_number 12
_cell_length_a 6.239
_cell_length_b 10.852
_cell_length_c 11.848
_cell_angle_alpha 90.00
_cell_angle_beta 100.37
_cell_angle_gamma 90.00
loop_
_symmetry_equiv_pos_as_xyz
'x,y,z'
'-x,-y,-z'
'-x,y,-z'
'x,-y,z'
'x+1/2,y+1/2,z'
'-x+1/2,-y+1/2,-z'
'-x+1/2,y+1/2,-z'
'x+1/2,-y+1/2,z'
loop_
_atom_site_label
_atom_site_type_symbol
_atom_site_fract_x
_atom_site_fract_y
_atom_site_fract_z
Pm1 Pm 0.242 0.163 0.242
Pm2 Pm 0.246 0.000 0.755
Nd1 Nd 0.000 0.169 0.500
Nd2 Nd 0.000 0.500 0.500
Ho1 Ho 0.000 0.334 0.000
In1 In 0.000 0.000 0.000
# Energy of formation from the pure elements in meV per atom: -33
# Total magnetic moment in μB/f.u.: 0.0